(1)
{"formula": "Mg3BeIn", "functional": "PBE", "state": "optimized geometry", "spacegroup": "Pm-3m (221)", "ef_ev_per_atom": 0.81, "cell": [[5.306, 0.000, 0.000], [0.000, 5.306, 0.000], [0.000, 0.000, 5.306]], "species": ["Be", "Mg", "Mg", "Mg", "In"], "frac_coords": [[0.500, 0.500, 0.500], [0.000, 0.500, 0.000], [0.000, 0.000, 0.500], [0.500, 0.000, 0.000], [0.000, 0.000, 0.000]]}


(2)
{"formula": "CeGdBr", "functional": "PBE", "state": "optimized geometry", "spacegroup": "P3m1 (156)", "raw_formation_energy_ev_per_atom": -0.652, "cell": [[3.698, 0.000, 0.000], [-1.849, 3.203, 0.000], [0.000, 0.000, 7.591]], "species": ["Gd", "Br", "Ce"], "frac_coords": [[0.667, 0.333, 0.357], [0.333, 0.667, 0.656], [0.000, 0.000, 0.987]]}


(3)
{"formula": "Ac2TeRh", "functional": "PBE", "state": "optimized geometry", "spacegroup": "R-3m (166)", "raw_formation_energy_ev_per_atom": -1.092, "cell": [[-0.328, 1.908, -3.976], [-1.032, -2.436, -3.543], [-8.183, 1.206, -1.205]], "species": ["Ac", "Ac", "Te", "Rh"], "frac_coords": [[0.263, 0.263, 0.210], [0.737, 0.737, 0.790], [0.500, 0.500, 0.500], [0.000, 0.000, 0.000]]}


(4)
{"formula": "PdRuF2", "functional": "PBE", "state": "optimized geometry", "spacegroup": "I-42d (122)", "raw_formation_energy_ev_per_atom": -0.180, "cell": [[-3.823, -5.810, 0.477], [5.433, -3.344, 2.811], [0.032, -3.877, 3.969]], "species": ["Ru", "Ru", "Pd", "Pd", "F", "F", "F", "F"], "frac_coords": [[0.500, 0.500, 0.000], [0.250, 0.750, 0.500], [0.000, 0.000, 0.000], [0.750, 0.250, 0.500], [0.516, 0.125, 0.250], [0.234, 0.625, 0.250], [0.375, 0.484, 0.750], [0.875, 0.766, 0.750]]}


(5)
{"formula": "Tl3InPb", "functional": "PBE", "state": "optimized geometry", "spacegroup": "Pm-3m (221)", "ef_ev_per_atom": 0.37, "cell": [[5.739, 0.000, 0.000], [0.000, 5.739, 0.000], [0.000, 0.000, 5.739]], "species": ["Pb", "Tl", "Tl", "Tl", "In"], "frac_coords": [[0.500, 0.500, 0.500], [0.000, 0.500, 0.000], [0.000, 0.000, 0.500], [0.500, 0.000, 0.000], [0.000, 0.000, 0.000]]}


(6)
{"formula": "CsZnGePSe", "functional": "PBE", "state": "optimized geometry", "spacegroup": "Pm (6)", "raw_formation_energy_ev_per_atom": -0.351, "cell": [[5.013, 0.000, 0.000], [0.000, 3.742, 0.000], [-0.098, 0.000, 9.569]], "species": ["Cs", "Zn", "Ge", "P", "Se"], "frac_coords": [[0.791, 0.500, 0.286], [0.295, 0.500, 0.644], [0.289, 0.500, 0.901], [0.285, 0.000, 0.044], [0.296, 0.000, 0.494]]}


(7)
{"formula": "HfMg", "functional": "PBE", "state": "optimized geometry", "spacegroup": "Pm-3m (221)", "ef_ev_per_atom": 0.21, "cell": [[3.488, 0.000, 0.000], [0.000, 3.488, 0.000], [0.000, 0.000, 3.488]], "species": ["Mg", "Hf"], "frac_coords": [[0.000, 0.000, 0.000], [0.500, 0.500, 0.500]]}


(8)
{"formula": "HS3Cl2", "functional": "PBE", "state": "optimized geometry", "spacegroup": "P-1 (2)", "total_energy_ev_per_atom": -3.419, "cell": [[-9.693, -1.999, -0.431], [-2.633, -2.516, -10.892], [-4.521, -3.770, 7.702]], "species": ["H", "H", "S", "S", "S", "S", "S", "S", "Cl", "Cl", "Cl", "Cl"], "frac_coords": [[0.807, 0.852, 0.982], [0.193, 0.148, 0.018], [0.301, 0.629, 0.950], [0.699, 0.371, 0.050], [0.942, 0.992, 0.431], [0.514, 0.596, 0.690], [0.486, 0.404, 0.310], [0.058, 0.008, 0.569], [0.379, 0.987, 0.723], [0.200, 0.505, 0.405], [0.800, 0.495, 0.595], [0.621, 0.013, 0.277]]}


| no. | spin magnetization (μB per cell) |
| --- | --- |
| 1 | 0.00 |
| 2 | 6.57 |
| 3 | 0.00 |
| 4 | 3.98 |
| 5 | 0.00 |
| 6 | 0.00 |
| 7 | 0.00 |
| 8 | 0.00 |